# Ba2HgS3 (SCAN, PBEsol geometry)
data_Ba2HgS3
_symmetry_space_group_name_H-M 'P n m a'
_symmetry_Int_Tables_number 62
_symmetry_space_group_name_Hall '-P 2ac 2n'
_cell_length_a 8.8814
_cell_length_b 4.3266
_cell_length_c 17.1556
_cell_angle_alpha 90.00
_cell_angle_beta 90.00
_cell_angle_gamma 90.00
loop_
_atom_site_label
_atom_site_type_symbol
_atom_site_fract_x
_atom_site_fract_y
_atom_site_fract_z
_atom_site_occupancy
Ba1 Ba 0.0762 0.2500 0.2152 1
Ba2 Ba 0.2411 0.2500 0.9605 1
Hg1 Hg 0.1242 0.2500 0.6330 1
S1 S 0.0149 0.2500 0.4047 1
S2 S 0.1148 0.7500 0.0720 1
S3 S 0.1886 0.2500 0.7782 1
# - calculated volume (Å³/atom) = 27.47
# - DOS at the Fermi energy (states/eV/f.u.) = 0.0
# - E_form (uncorrected) (eV per atom) = -1.6722